# 1
DyEr8Tm2 | Alexandria via LeMat-Bulk | GGA-PBE | optimized geometry; energy above the lowest structure with this stoichiometry = 0.039 eV/atom; energy = -4.35 eV/atom; SG = C2/m, No. 12; DFT formation energy = 0.201 eV per atom; magnetic moment = 0.00 μB/atom
1.0
6.1857 0.4819 1.6945
0.9685 7.4337 5.1845
0.3784 1.9907 8.8866
Er Tm Dy
8 2 1
direct
0.3096 0.3414 0.8621
0.6904 0.1379 0.6586
0.3311 0.7900 0.7900
0.6689 0.2100 0.2100
0.3096 0.8621 0.3414
0.6904 0.6586 0.1379
0.7551 0.5605 0.5605
0.2449 0.4395 0.4395
0.8958 0.7196 0.7196
0.1042 0.2804 0.2804
0.0000 0.0000 0.0000

# 2
Dy6Er12Tm | Alexandria via LeMat-Bulk | GGA-PBE | optimized geometry; energy above the lowest structure with this stoichiometry = 0.000 eV/atom; energy = -4.41 eV/atom; SG = R-3, No. 148; DFT formation energy = 0.161 eV per atom; magnetic moment = 0.00 μB/atom
1.0
8.3522 0.7203 0.8629
-0.5543 8.3649 0.8629
-0.5543 -0.6458 8.3844
Dy Er Tm
6 12 1
direct
0.7445 0.9093 0.3113
0.6887 0.2555 0.0907
0.0907 0.6887 0.2555
0.2555 0.0907 0.6887
0.3113 0.7445 0.9093
0.9093 0.3113 0.7445
0.7736 0.5438 0.4367
0.4367 0.7736 0.5438
0.5438 0.4367 0.7736
0.2264 0.4562 0.5633
0.5633 0.2264 0.4562
0.4562 0.5633 0.2264
0.0099 0.2092 0.3547
0.7908 0.6453 0.9901
0.6453 0.9901 0.7908
0.9901 0.7908 0.6453
0.2092 0.3547 0.0099
0.3547 0.0099 0.2092
0.0000 0.0000 0.0000

# 3
DyEr5Tm3 | Alexandria via LeMat-Bulk | GGA-PBE | optimized geometry; energy above the lowest structure with this stoichiometry = 0.000 eV/atom; energy = -4.03 eV/atom; SG = C2/m, No. 12; DFT formation energy = 0.504 eV per atom; magnetic moment = 0.00 μB/atom
1.0
-5.7225 -6.8427 -1.3711
-0.6828 -6.9537 5.7123
-9.3087 -1.9416 6.5926
Dy Er Tm
2 10 6
direct
0.1357 0.1357 0.6484
0.8643 0.8643 0.3516
0.9338 0.2946 0.1725
0.3195 0.6805 0.0000
0.6538 0.6538 0.0293
0.4438 0.4438 0.3996
0.5562 0.5562 0.6004
0.3462 0.3462 0.9707
0.2946 0.9338 0.1725
0.6805 0.3195 0.0000
0.0662 0.7054 0.8275
0.7054 0.0662 0.8275
0.7263 0.7263 0.7079
0.7449 0.7449 0.1960
0.0000 0.0000 0.0000
0.0000 0.0000 0.5000
0.2737 0.2737 0.2921
0.2551 0.2551 0.8040

# 4
DyEr3Tm7 | Alexandria via LeMat-Bulk | GGA-PBE | optimized geometry; energy above the lowest structure with this stoichiometry = 0.000 eV/atom; energy = -4.35 eV/atom; SG = P2/m, No. 10; DFT formation energy = 0.162 eV per atom; magnetic moment = 0.00 μB/atom
1.0
-8.0633 -3.2318 -0.8441
3.5854 -4.0060 8.1730
1.5006 4.9146 1.7497
Dy Er Tm
1 3 7
direct
0.5000 0.5000 0.5000
0.2220 0.0017 0.7221
0.0000 0.5000 0.0000
0.7780 0.9983 0.2779
0.9194 0.8313 0.9194
0.8215 0.6411 0.3216
0.6468 0.2908 0.1468
0.3532 0.7092 0.8532
0.5000 0.0000 0.5000
0.1785 0.3589 0.6784
0.0806 0.1687 0.0806

# 5
Dy3Er7Tm2 | Alexandria via LeMat-Bulk | GGA-PBE | optimized geometry; energy above the lowest structure with this stoichiometry = 0.143 eV/atom; energy = -4.39 eV/atom; SG = Cmmm, No. 65; DFT formation energy = 0.166 eV per atom; magnetic moment = 0.00 μB/atom
1.0
3.5438 0.0000 0.0000
0.0000 5.7461 0.0000
0.0000 -2.8730 18.4097
Dy Er Tm
3 7 2
direct
0.5000 0.5000 0.0000
0.5000 0.6507 0.3015
0.5000 0.3493 0.6985
0.0000 0.4271 0.8541
0.0000 0.7301 0.4603
0.0000 0.0000 0.0000
0.0000 0.5729 0.1459
0.5000 0.0906 0.1813
0.5000 0.9094 0.8187
0.0000 0.2699 0.5397
0.0000 0.8242 0.6485
0.0000 0.1758 0.3515

# 6
DyErTm4 | Alexandria via LeMat-Bulk | GGA-PBE | optimized geometry; energy above the lowest structure with this stoichiometry = 0.114 eV/atom; energy = -4.24 eV/atom; SG = F-43m, No. 216; DFT formation energy = 0.273 eV per atom; magnetic moment = 0.13 μB/atom
1.0
-0.2528 0.8537 6.4079
-5.1653 -2.0194 3.3310
0.4941 -5.0893 3.9633
Tm Dy Er
4 1 1
direct
0.6250 0.6250 0.1249
0.6250 0.1249 0.6250
0.6250 0.6250 0.6250
0.1249 0.6250 0.6250
0.2500 0.2500 0.2500
0.0000 0.0000 0.0000

Q: What is the formula in the third record?
A: DyEr5Tm3